This record from Alexandria via LeMat-Bulk describes a relaxed structure of ErMg5Pb6. The functional is GGA-PBE.

Cell lengths 5.416, 7.183, 8.610 Å; angles 90.00, 71.67, 90.00 degrees
Fractional coordinates of all 12 atoms:
Mg (0.671, 0.500, 0.658)
Mg (0.338, 0.000, 0.324)
Mg (0.000, 0.500, 0.000)
Mg (0.329, 0.500, 0.342)
Mg (0.662, 0.000, 0.676)
Er (0.000, 0.000, 0.000)
Pb (0.500, 0.740, 0.000)
Pb (0.830, 0.750, 0.339)
Pb (0.500, 0.260, 0.000)
Pb (0.170, 0.750, 0.661)
Pb (0.170, 0.250, 0.661)
Pb (0.830, 0.250, 0.339)

Values from the calculation:
The value obtained for the energy of formation is -111.6 meV/atom. Its symmetry is Cmmm, No. 65. The raw total energy comes out at -3.010 eV/atom. The polymorph energy (0 for the lowest one) comes out at 0 kJ/mol of formula units.

=====

This record from Alexandria via LeMat-Bulk describes a relaxed structure of ErMg7Pb4. The functional is GGA-PBE.

Cell lengths 5.826, 9.610, 6.834 Å; angles 83.90, 64.77, 72.36 degrees
Fractional coordinates of all 12 atoms:
Mg (0.783, 0.910, 0.524)
Mg (0.056, 0.645, 0.244)
Mg (0.217, 0.090, 0.476)
Mg (0.340, 0.563, 0.758)
Mg (0.500, 0.000, 0.000)
Mg (0.660, 0.437, 0.242)
Mg (0.944, 0.355, 0.756)
Pb (0.727, 0.682, 0.864)
Pb (0.580, 0.227, 0.612)
Pb (0.420, 0.773, 0.388)
Pb (0.273, 0.318, 0.136)
Er (0.000, 0.000, 0.000)

Values from the calculation:
The value obtained for the energy of formation is 108.7 meV/atom. Its symmetry is C2/m, No. 12. The raw total energy comes out at -2.438 eV/atom.

=====

This record from Alexandria via LeMat-Bulk describes a relaxed structure of Er5MgPb4. The functional is GGA-PBE.

Cell lengths 6.360, 7.538, 7.538 Å; angles 79.75, 65.05, 65.05 degrees
Fractional coordinates of all 10 atoms:
Pb (0.351, 0.382, 0.828)
Pb (0.732, 0.828, 0.618)
Pb (0.560, 0.618, 0.172)
Pb (0.179, 0.172, 0.382)
Er (0.643, 0.225, 0.405)
Er (0.675, 0.000, 0.000)
Er (0.048, 0.595, 0.225)
Er (0.273, 0.775, 0.595)
Er (0.868, 0.405, 0.775)
Mg (0.180, 0.000, 0.000)

Values from the calculation:
The value obtained for the energy of formation is -241.3 meV/atom. Its symmetry is I4, No. 79. The raw total energy comes out at -4.166 eV/atom.

=====

This record from Alexandria via LeMat-Bulk describes a relaxed structure of ErMgPb6. The functional is GGA-PBE.

Cell lengths 4.769, 4.769, 10.193 Å; angles 90.00, 90.00, 90.00 degrees
Fractional coordinates of all 8 atoms:
Pb (0.500, 0.500, 0.500)
Pb (0.500, 0.000, 0.251)
Pb (0.500, 0.500, 0.000)
Pb (0.000, 0.500, 0.251)
Pb (0.000, 0.500, 0.749)
Pb (0.500, 0.000, 0.749)
Mg (0.000, 0.000, 0.500)
Er (0.000, 0.000, 0.000)

Values from the calculation:
The value obtained for the energy of formation is -107.4 meV/atom. Its symmetry is P4/mmm, No. 123. The raw total energy comes out at -3.658 eV/atom.

=====

This record from Alexandria via LeMat-Bulk describes a relaxed structure of Er5Mg2Pb5. The functional is GGA-PBE.

Cell lengths 4.710, 7.221, 11.981 Å; angles 116.37, 90.00, 109.04 degrees
Fractional coordinates of all 12 atoms:
Pb (0.000, 0.000, 0.000)
Pb (0.870, 0.739, 0.539)
Pb (0.130, 0.261, 0.461)
Pb (0.730, 0.461, 0.783)
Pb (0.270, 0.539, 0.217)
Er (0.500, 0.000, 0.500)
Er (0.643, 0.287, 0.289)
Er (0.357, 0.713, 0.711)
Er (0.348, 0.697, 0.004)
Er (0.652, 0.303, 0.996)
Mg (0.085, 0.171, 0.768)
Mg (0.915, 0.829, 0.232)

Values from the calculation:
The value obtained for the energy of formation is -267.5 meV/atom. Its symmetry is C2/m, No. 12. The raw total energy comes out at -3.980 eV/atom.

=====

This record from Alexandria via LeMat-Bulk describes a relaxed structure of ErMgPb. The functional is GGA-PBE.

Cell lengths 4.891, 4.891, 9.054 Å; angles 74.33, 74.33, 60.00 degrees
Fractional coordinates of all 6 atoms:
Mg (0.127, 0.127, 0.620)
Mg (0.873, 0.873, 0.380)
Er (0.375, 0.375, 0.875)
Er (0.625, 0.625, 0.125)
Pb (0.756, 0.756, 0.732)
Pb (0.244, 0.244, 0.268)

Values from the calculation:
The value obtained for the energy of formation is -87.0 meV/atom. Its symmetry is R-3m, No. 166. The raw total energy comes out at -3.376 eV/atom.

=====

This record from Alexandria via LeMat-Bulk describes a relaxed structure of Er2MgPb4. The functional is GGA-PBE.

Cell lengths 3.623, 6.276, 10.010 Å; angles 107.61, 100.43, 90.00 degrees
Fractional coordinates of all 7 atoms:
Er (0.752, 0.754, 0.505)
Er (0.248, 0.246, 0.495)
Pb (0.887, 0.231, 0.773)
Pb (0.613, 0.310, 0.226)
Pb (0.387, 0.690, 0.774)
Pb (0.113, 0.769, 0.227)
Mg (0.000, 0.000, 0.000)

Values from the calculation:
The value obtained for the energy of formation is -112.6 meV/atom. Its symmetry is C2/m, No. 12. The raw total energy comes out at -3.763 eV/atom.

=====

This record from Alexandria via LeMat-Bulk describes a relaxed structure of Er5Mg4Pb. The functional is GGA-PBE.

Cell lengths 3.806, 3.806, 18.442 Å; angles 90.00, 90.00, 90.00 degrees
Fractional coordinates of all 10 atoms:
Mg (0.000, 0.000, 0.204)
Mg (0.000, 0.000, 0.600)
Mg (0.000, 0.000, 0.400)
Mg (0.000, 0.000, 0.796)
Er (0.500, 0.500, 0.699)
Er (0.500, 0.500, 0.103)
Er (0.500, 0.500, 0.301)
Er (0.500, 0.500, 0.500)
Er (0.500, 0.500, 0.897)
Pb (0.000, 0.000, 0.000)

Values from the calculation:
The value obtained for the energy of formation is -146.2 meV/atom. Its symmetry is P4/mmm, No. 123. The raw total energy comes out at -3.436 eV/atom.

=====

This record from Alexandria via LeMat-Bulk describes a relaxed structure of Er2Mg2Pb. The functional is GGA-PBE.

Cell lengths 3.945, 3.945, 9.648 Å; angles 101.80, 101.80, 90.00 degrees
Fractional coordinates of all 5 atoms:
Mg (0.250, 0.750, 0.500)
Mg (0.750, 0.250, 0.500)
Pb (0.000, 0.000, 0.000)
Er (0.402, 0.402, 0.804)
Er (0.598, 0.598, 0.196)

Values from the calculation:
The value obtained for the energy of formation is 63.7 meV/atom. Its symmetry is I4/mmm, No. 139. The raw total energy comes out at -3.141 eV/atom. The polymorph energy (0 for the lowest one) comes out at 41 kJ/mol of formula units.

=====

This record from Alexandria via LeMat-Bulk describes a relaxed structure of ErMg2Pb4. The functional is GGA-PBE.

Cell lengths 4.907, 6.480, 6.480 Å; angles 102.99, 90.00, 90.00 degrees
Fractional coordinates of all 7 atoms:
Pb (0.500, 0.000, 0.500)
Pb (0.000, 0.785, 0.785)
Pb (0.500, 0.500, 0.000)
Pb (0.000, 0.215, 0.215)
Er (0.500, 0.500, 0.500)
Mg (0.000, 0.264, 0.736)
Mg (0.000, 0.736, 0.264)

Values from the calculation:
The value obtained for the energy of formation is -137.5 meV/atom. Its symmetry is Cmmm, No. 65. The raw total energy comes out at -3.364 eV/atom.

=====

This record from Alexandria via LeMat-Bulk describes a relaxed structure of Er2Mg2Pb. The functional is GGA-PBE.

Cell lengths 8.404, 8.404, 6.221 Å; angles 49.78, 49.78, 25.93 degrees
Fractional coordinates of all 5 atoms:
Er (0.307, 0.307, 0.166)
Er (0.693, 0.693, 0.834)
Mg (0.587, 0.587, 0.510)
Mg (0.413, 0.413, 0.490)
Pb (0.000, 0.000, 0.000)

Values from the calculation:
The value obtained for the energy of formation is -21.5 meV/atom. Its symmetry is C2/m, No. 12. The raw total energy comes out at -3.226 eV/atom. The polymorph energy (0 for the lowest one) comes out at 0 kJ/mol of formula units.

=====

This record from Alexandria via LeMat-Bulk describes a relaxed structure of ErMgPb. The functional is GGA-PBE.

Cell lengths 3.536, 5.029, 5.029 Å; angles 120.00, 90.00, 90.00 degrees
Fractional coordinates of all 3 atoms:
Mg (0.169, 0.000, 0.000)
Er (0.667, 0.667, 0.333)
Pb (0.164, 0.333, 0.667)

Values from the calculation:
The value obtained for the energy of formation is -262.9 meV/atom. Its symmetry is P3m1, No. 156. The raw total energy comes out at -3.551 eV/atom.

=====

This record from Alexandria via LeMat-Bulk describes a relaxed structure of Er3MgPb2. The functional is GGA-PBE.

Cell lengths 6.389, 6.347, 9.431 Å; angles 109.66, 109.80, 90.00 degrees
Fractional coordinates of all 12 atoms:
Er (0.500, 0.250, 0.000)
Er (0.062, 0.827, 0.653)
Er (0.591, 0.327, 0.653)
Er (0.500, 0.750, 0.000)
Er (0.938, 0.173, 0.347)
Er (0.409, 0.673, 0.347)
Pb (0.879, 0.638, 0.277)
Pb (0.602, 0.862, 0.723)
Pb (0.398, 0.138, 0.277)
Pb (0.121, 0.362, 0.723)
Mg (0.000, 0.250, 0.000)
Mg (0.000, 0.750, 0.000)

Values from the calculation:
The value obtained for the energy of formation is -311.0 meV/atom. Its symmetry is Ibam, No. 72. The raw total energy comes out at -4.094 eV/atom. The polymorph energy (0 for the lowest one) comes out at 53 kJ/mol of formula units.

=====

This record from Alexandria via LeMat-Bulk describes a relaxed structure of Er8MgPb6. The functional is GGA-PBE.

Cell lengths 9.138, 9.138, 8.294 Å; angles 56.58, 56.58, 60.00 degrees
Fractional coordinates of all 15 atoms:
Er (0.333, 0.333, 0.001)
Er (0.196, 0.900, 0.289)
Er (0.100, 0.385, 0.711)
Er (0.804, 0.100, 0.711)
Er (0.667, 0.667, 0.999)
Er (0.385, 0.804, 0.711)
Er (0.900, 0.615, 0.289)
Er (0.615, 0.196, 0.289)
Pb (0.289, 0.558, 0.226)
Pb (0.073, 0.711, 0.774)
Pb (0.927, 0.289, 0.226)
Pb (0.711, 0.442, 0.774)
Pb (0.442, 0.073, 0.774)
Pb (0.558, 0.927, 0.226)
Mg (0.000, 0.000, 0.000)

Values from the calculation:
The value obtained for the energy of formation is -321.0 meV/atom. Its symmetry is R-3, No. 148. The raw total energy comes out at -4.344 eV/atom.

=====

This record from Alexandria via LeMat-Bulk describes a relaxed structure of Er3MgPb2. The functional is GGA-PBE.

Cell lengths 4.519, 4.519, 8.783 Å; angles 104.92, 104.91, 90.00 degrees
Fractional coordinates of all 6 atoms:
Er (0.830, 0.330, 0.659)
Er (0.500, 0.500, 0.000)
Er (0.170, 0.670, 0.341)
Mg (0.000, 0.000, 0.000)
Pb (0.638, 0.138, 0.277)
Pb (0.362, 0.862, 0.723)

Values from the calculation:
The value obtained for the energy of formation is -402.6 meV/atom. Its symmetry is Immm, No. 71. The raw total energy comes out at -4.186 eV/atom. The polymorph energy (0 for the lowest one) comes out at 0 kJ/mol of formula units.

=====

This record from Alexandria via LeMat-Bulk describes a relaxed structure of ErMg5Pb6. The functional is GGA-PBE.

Cell lengths 6.446, 9.786, 7.182 Å; angles 47.05, 82.25, 78.58 degrees
Fractional coordinates of all 12 atoms:
Mg (0.000, 0.665, 0.670)
Mg (0.000, 0.335, 0.330)
Mg (0.500, 0.163, 0.674)
Mg (0.500, 0.837, 0.326)
Mg (0.500, 0.500, 0.000)
Pb (0.256, 0.575, 0.338)
Pb (0.752, 0.745, 0.000)
Pb (0.744, 0.087, 0.338)
Pb (0.256, 0.913, 0.662)
Pb (0.248, 0.255, 0.000)
Pb (0.744, 0.425, 0.662)
Er (0.000, 0.000, 0.000)

Values from the calculation:
The value obtained for the energy of formation is -98.5 meV/atom. Its symmetry is C2/m, No. 12. The raw total energy comes out at -2.997 eV/atom. The polymorph energy (0 for the lowest one) comes out at 15 kJ/mol of formula units.

=====

This record from Alexandria via LeMat-Bulk describes a relaxed structure of ErMg3Pb3. The functional is GGA-PBE.

Cell lengths 7.401, 7.401, 6.977 Å; angles 89.87, 89.87, 92.67 degrees
Fractional coordinates of all 14 atoms:
Er (0.299, 0.299, 0.999)
Er (0.701, 0.701, 0.001)
Mg (0.645, 0.355, 0.500)
Mg (0.745, 0.255, 0.000)
Mg (0.756, 0.756, 0.500)
Mg (0.244, 0.244, 0.500)
Mg (0.355, 0.645, 0.500)
Mg (0.255, 0.745, 0.000)
Pb (0.000, 0.000, 0.758)
Pb (0.000, 0.499, 0.260)
Pb (0.501, 0.000, 0.740)
Pb (0.499, 0.000, 0.260)
Pb (0.000, 0.501, 0.740)
Pb (0.000, 0.000, 0.242)

Values from the calculation:
The value obtained for the energy of formation is -67.1 meV/atom. Its symmetry is C2/m, No. 12. The raw total energy comes out at -2.992 eV/atom. The polymorph energy (0 for the lowest one) comes out at 0 kJ/mol of formula units.

=====

This record from Alexandria via LeMat-Bulk describes a relaxed structure of ErMgPb4. The functional is GGA-PBE.

Cell lengths 8.108, 6.886, 6.703 Å; angles 90.00, 90.00, 90.01 degrees
Fractional coordinates of all 12 atoms:
Pb (0.203, 0.000, 0.500)
Pb (0.305, 0.500, 0.000)
Pb (0.695, 0.500, 0.000)
Pb (0.797, 0.000, 0.500)
Pb (0.695, 0.000, 0.000)
Pb (0.305, 0.000, 0.000)
Pb (0.797, 0.500, 0.500)
Pb (0.203, 0.500, 0.500)
Er (0.000, 0.750, 0.161)
Er (0.000, 0.250, 0.839)
Mg (0.500, 0.750, 0.648)
Mg (0.500, 0.250, 0.352)

Values from the calculation:
The value obtained for the energy of formation is -48.3 meV/atom. Its symmetry is Pmma, No. 51. The raw total energy comes out at -3.547 eV/atom.

=====

This record from Alexandria via LeMat-Bulk describes a relaxed structure of ErMg2Pb5. The functional is GGA-PBE.

Cell lengths 5.556, 6.524, 12.443 Å; angles 90.00, 90.00, 90.00 degrees
Fractional coordinates of all 16 atoms:
Er (0.000, 0.500, 0.000)
Er (0.000, 0.000, 0.500)
Pb (0.000, 0.000, 0.000)
Pb (0.000, 0.703, 0.241)
Pb (0.500, 0.337, 0.129)
Pb (0.500, 0.663, 0.871)
Pb (0.500, 0.163, 0.629)
Pb (0.500, 0.837, 0.371)
Pb (0.000, 0.297, 0.759)
Pb (0.000, 0.500, 0.500)
Pb (0.000, 0.203, 0.259)
Pb (0.000, 0.797, 0.741)
Mg (0.500, 0.673, 0.610)
Mg (0.500, 0.327, 0.390)
Mg (0.500, 0.827, 0.110)
Mg (0.500, 0.173, 0.890)

Values from the calculation:
The value obtained for the energy of formation is -103.7 meV/atom. Its symmetry is Pbam, No. 55. The raw total energy comes out at -3.390 eV/atom. The polymorph energy (0 for the lowest one) comes out at 0 kJ/mol of formula units.

=====

This record from Alexandria via LeMat-Bulk describes a relaxed structure of ErMgPb. The functional is GGA-PBE.

Cell lengths 3.557, 3.557, 6.826 Å; angles 105.10, 105.10, 90.00 degrees
Site moments in Bohr magnetons follow the coordinates.
Fractional coordinates of all 3 atoms:
Pb (0.292, 0.292, 0.584)  0.00
Mg (0.943, 0.943, 0.886)  0.00
Er (0.615, 0.615, 0.230)  0.10

Values from the calculation:
The value obtained for the energy of formation is -174.9 meV/atom. Its symmetry is I4mm, No. 107. The raw total energy comes out at -3.464 eV/atom.